Entry 1:
The following is a DFT calculation (PBE) of a geometry-optimized CsAg3F6 structure.

Cell lengths 6.1810, 6.2200, 6.2762 Å; angles 118.90, 90.95, 116.85 degrees
Positions (direct):
Cs 0.0000 0.0000 0.0000
Ag 0.2733 0.5197 0.7626
Ag 0.3967 0.8687 0.4024
Ag 0.7615 0.5181 0.2619
F 0.0166 0.5252 0.5082
F 0.1384 0.0699 0.5082
F 0.4675 0.9738 0.0618
F 0.5202 0.5200 0.0211
F 0.5502 0.6306 0.5153
F 0.9816 0.4710 0.0067

Calculated values
Raw formation energy (eV per formula unit): -14.61

Entry 2:
The following is a DFT calculation (PBE) of a geometry-optimized ScFe2Cu structure.

Cell lengths 2.7313, 4.3877, 4.7453 Å; angles 90.00, 97.75, 90.00 degrees
Positions (direct):
Sc 0.0000 0.0000 0.0000
Fe 0.3140 0.5000 0.7432
Fe 0.6859 0.5000 0.2568
Cu 0.5000 0.0000 0.5000

Calculated values
E_form (meV per atom): 157

Entry 3:
The following is a DFT calculation (PBE) of a geometry-optimized Pm2PuSn3Pt4 structure.

Cell lengths 4.6116, 4.6116, 11.0868 Å; angles 90.00, 90.00, 90.00 degrees
Positions (direct):
Pm 0.0000 0.5000 0.2166
Pm 0.5000 0.0000 0.7834
Pu 0.0000 0.0000 0.5000
Sn 0.0000 0.5000 0.8757
Sn 0.5000 0.0000 0.1243
Sn 0.5000 0.5000 0.5000
Pt 0.0000 0.0000 0.0000
Pt 0.0000 0.5000 0.6423
Pt 0.5000 0.0000 0.3577
Pt 0.5000 0.5000 0.0000

Calculated values
E_form (meV per atom): -793

Record-wise energy values, in eV per cell: -35.24, -26.73, -67.94